1.
Density functional theory data (PBE) for a geometry-optimized Rb2Tl3Pb6 structure.

Cell and atoms, written as CIF:
```
data_Rb2Tl3Pb6
_chemical_formula_sum 'Rb2 Tl3 Pb6'
_cell_length_a 9.2051
_cell_length_b 9.2051
_cell_length_c 5.7277
_cell_angle_alpha 90.00
_cell_angle_beta 90.00
_cell_angle_gamma 120.00
_symmetry_space_group_name_H-M 'P -6 2 m'
_symmetry_Int_Tables_number 189
_symmetry_space_group_name_Hall 'P -6 -2'
loop_
_atom_site_label
_atom_site_type_symbol
_atom_site_fract_x
_atom_site_fract_y
_atom_site_fract_z
Rb1 Rb 0.3333 0.6667 0.0000
Tl1 Tl 0.0000 0.5943 0.5000
Pb1 Pb 0.0000 0.2342 0.5000
Pb2 Pb 0.0000 0.7971 0.0000
```

Computed properties:
The crystal system is hexagonal. The density of states at the Fermi level comes out at 5.9 states/eV per cell. For the formation energy, the calculation gives -0.058 eV/atom.

---

2.
Density functional theory data (PBE) for a geometry-optimized K2Cd2SbO6 structure.

Cell and atoms, written as CIF:
```
data_K2Cd2SbO6
_chemical_formula_sum 'K4 Cd4 Sb2 O12'
_cell_length_a 5.922
_cell_length_b 9.789
_cell_length_c 6.688
_cell_angle_alpha 90.00
_cell_angle_beta 109.94
_cell_angle_gamma 90.00
_symmetry_space_group_name_H-M 'C 1 2/m 1'
_symmetry_Int_Tables_number 12
loop_
_symmetry_equiv_pos_as_xyz
'x,y,z'
'-x,-y,-z'
'-x,y,-z'
'x,-y,z'
'x+1/2,y+1/2,z'
'-x+1/2,-y+1/2,-z'
'-x+1/2,y+1/2,-z'
'x+1/2,-y+1/2,z'
loop_
_atom_site_label
_atom_site_type_symbol
_atom_site_fract_x
_atom_site_fract_y
_atom_site_fract_z
K1 K 0.000 0.177 0.000
Cd1 Cd 0.000 0.336 0.500
Sb1 Sb 0.000 0.000 0.500
O1 O 0.205 0.150 0.685
O2 O 0.226 0.000 0.327
```

Computed properties:
The crystal system is monoclinic. The calculation puts the formation energy from raw total energies at -1.303 eV per atom. The density of states at the Fermi level comes out at 10.0 states/eV per cell.